Record 1
Material: PrPtAu
Method: DFT, PBE
State: relaxed

Output
excess energy over the best structure of this formula in the dataset: 0 meV per atom
symmetry: No. 62
theoretical density: 13.23 g/cm3
energy of formation: -0.91 eV/atom
total magnetic moment: 0.00 μB per cell
energy: -16.817 eV/f.u.

a b c (Å): 7.3381 4.1611 8.7651
angles (deg): 90.00 90.00 90.00
Element x y z (fractional)
Au  0.3689  0.7500  0.0662
Au  0.8689  0.7500  0.4338
Au  0.1311  0.2500  0.5662
Au  0.6311  0.2500  0.9338
Pr  0.0566  0.2500  0.1914
Pr  0.5566  0.2500  0.3086
Pr  0.4434  0.7500  0.6914
Pr  0.9434  0.7500  0.8086
Pt  0.7673  0.7500  0.1227
Pt  0.2673  0.7500  0.3773
Pt  0.7327  0.2500  0.6227
Pt  0.2327  0.2500  0.8773

Record 2
Material: HfSnAs
Method: DFT, PBE
State: relaxed

Output
excess energy over the best structure of this formula in the dataset: 0 meV per atom
symmetry: No. 216
theoretical density: 8.56 g/cm3
total magnetic moment: 0.00 μB per cell
energy: -18.324 eV/f.u.

a b c (Å): 4.6738 4.6738 4.6738
angles (deg): 60.00 60.00 60.00
Element x y z (fractional)
As  0.0000  0.0000  0.0000
Hf  0.2500  0.2500  0.2500
Sn  0.7500  0.7500  0.7500

Record 3
Material: K5FeSb2
Method: DFT, PBE
State: relaxed

Output
symmetry: No. 166
theoretical density: 2.78 g/cm3
total magnetic moment: 3.00 μB per cell
energy: -23.522 eV/f.u.

a b c (Å): 10.0453 10.0453 10.0453
angles (deg): 34.88 34.88 34.88
Each line ends with the local moment (μB).
Element x y z (fractional)
Fe  0.0000  0.0000  0.0000  2.86
K  0.2194  0.2194  0.2194  0.00
K  0.3648  0.3648  0.3648  -0.01
K  0.5000  0.5000  0.5000  0.01
K  0.6352  0.6352  0.6352  -0.01
K  0.7806  0.7806  0.7806  0.00
Sb  0.0901  0.0901  0.0901  0.01
Sb  0.9099  0.9099  0.9099  0.01

Record 4
Material: Sm4BI3Br2
Method: DFT, PBE
State: relaxed

Output
symmetry: No. 12
theoretical density: 5.75 g/cm3
total magnetic moment: 0.01 μB per cell
energy: -45.852 eV/f.u.

a b c (Å): 9.7000 9.7000 8.7509
angles (deg): 101.74 101.74 24.41
Element x y z (fractional)
B  0.5000  0.5000  0.0000
Br  0.1585  0.1585  0.3190
Br  0.8415  0.8415  0.6810
I  0.8267  0.8267  0.1804
I  0.5000  0.5000  0.5000
I  0.1733  0.1733  0.8196
Sm  0.6392  0.6392  0.0723
Sm  0.9991  0.9991  0.2001
Sm  0.0009  0.0009  0.7999
Sm  0.3608  0.3608  0.9277

Record 5
Material: ZrNbTlCu
Method: DFT, PBE
State: relaxed

Output
excess energy over the best structure of this formula in the dataset: 0 meV per atom
symmetry: No. 216
theoretical density: 9.53 g/cm3
total magnetic moment: 1.51 μB per cell
energy: -22.801 eV/f.u.

a b c (Å): 4.8109 4.8109 4.8109
angles (deg): 60.00 60.00 60.00
Element x y z (fractional)
Cu  0.7500  0.7500  0.7500
Nb  0.2500  0.2500  0.2500
Tl  0.0000  0.0000  0.0000
Zr  0.5000  0.5000  0.5000

Record 6
Material: ErGeB4
Method: DFT, PBE
State: relaxed

Output
excess energy over the best structure of this formula in the dataset: 0 meV per atom
symmetry: No. 71
theoretical density: 7.15 g/cm3
total magnetic moment: 0.00 μB per cell
energy: -36.552 eV/f.u.

a b c (Å): 5.0482 5.0482 5.0482
angles (deg): 143.48 118.83 73.39
Element x y z (fractional)
B  0.5870  0.2625  0.3245
B  0.0620  0.7375  0.3245
B  0.9380  0.2625  0.6755
B  0.4130  0.7375  0.6755
Er  0.0000  0.0000  0.0000
Ge  0.5000  0.5000  0.0000